# 1
Here is a relaxed structure of Pm7YTh2 from the Alexandria database. Energies are from PBE-GGA.

Results
Final energy = -4.74 eV/atom

abc: 9.471 9.471 5.633
angles: 90.00 90.00 124.48
Sites, in units of the cell vectors:
1 Pm 0.000 0.000 0.000
2 Pm 0.210 0.434 0.000
3 Pm 0.282 0.718 0.500
4 Pm 0.434 0.210 0.000
5 Pm 0.566 0.790 0.000
6 Pm 0.718 0.282 0.500
7 Pm 0.790 0.566 0.000
8 Y 0.500 0.500 0.500
9 Th 0.204 0.796 0.000
10 Th 0.796 0.204 0.000



# 2
Here is a relaxed structure of RbCrGe2Te8 from the Alexandria database. Energies are from PBE-GGA.

Results
Uncorrected formation energy = -0.130 eV per atom

abc: 9.839 9.839 9.839
angles: 41.49 41.49 41.49
Sites, in units of the cell vectors:
1 Rb 0.000 0.000 0.000
2 Cr 0.500 0.500 0.500
3 Ge 0.254 0.254 0.254
4 Ge 0.746 0.746 0.746
5 Te 0.130 0.422 0.801
6 Te 0.199 0.870 0.578
7 Te 0.352 0.352 0.352
8 Te 0.422 0.801 0.130
9 Te 0.578 0.199 0.870
10 Te 0.648 0.648 0.648
11 Te 0.801 0.130 0.422
12 Te 0.870 0.578 0.199



# 3
Here is a relaxed structure of La2PaPt3 from the Alexandria database. Energies are from PBE-GGA.

Results
Final energy = -7.32 eV/atom

abc: 13.877 13.229 7.276
angles: 79.41 69.57 31.02
Sites, in units of the cell vectors:
1 La 0.042 0.042 0.208
2 La 0.125 0.125 0.625
3 La 0.208 0.208 0.042
4 La 0.375 0.375 0.875
5 La 0.625 0.625 0.125
6 La 0.792 0.792 0.958
7 La 0.875 0.875 0.375
8 La 0.958 0.958 0.792
9 Pa 0.291 0.291 0.459
10 Pa 0.459 0.459 0.291
11 Pa 0.541 0.541 0.709
12 Pa 0.709 0.709 0.541
13 Pt 0.039 0.537 0.231
14 Pt 0.146 0.604 0.604
15 Pt 0.231 0.693 0.039
16 Pt 0.307 0.769 0.463
17 Pt 0.396 0.854 0.854
18 Pt 0.463 0.961 0.307
19 Pt 0.537 0.039 0.693
20 Pt 0.604 0.146 0.146
21 Pt 0.693 0.231 0.537
22 Pt 0.769 0.307 0.961
23 Pt 0.854 0.396 0.396
24 Pt 0.961 0.463 0.769



# 4
Here is a relaxed structure of Sm6Os2Au from the Alexandria database. Energies are from PBE-GGA.

Results
Final energy = -6.28 eV/atom

abc: 8.582 8.582 8.582
angles: 112.19 111.53 104.80
Sites, in units of the cell vectors:
1 Sm 0.015 0.830 0.185
2 Sm 0.245 0.547 0.303
3 Sm 0.245 0.942 0.697
4 Sm 0.276 0.318 0.594
5 Sm 0.276 0.682 0.958
6 Sm 0.355 0.170 0.185
7 Sm 0.645 0.830 0.815
8 Sm 0.724 0.318 0.042
9 Sm 0.724 0.682 0.406
10 Sm 0.755 0.058 0.303
11 Sm 0.755 0.453 0.697
12 Sm 0.985 0.170 0.815
13 Os 0.000 0.175 0.175
14 Os 0.000 0.825 0.825
15 Os 0.381 0.381 0.000
16 Os 0.619 0.619 0.000
17 Au 0.000 0.500 0.500
18 Au 0.500 0.000 0.500



# 5
Here is a relaxed structure of GaTeCl3 from the Alexandria database. Energies are from PBE-GGA.

Results
Offset from the most stable computed form = 0 meV/atom
Uncorrected formation energy = -0.298 eV per atom

abc: 5.524 5.524 5.524
angles: 90.00 90.00 90.00
Sites, in units of the cell vectors:
1 Ga 0.000 0.000 0.000
2 Te 0.500 0.500 0.500
3 Cl 0.000 0.500 0.500
4 Cl 0.500 0.000 0.500
5 Cl 0.500 0.500 0.000



# 6
Here is a relaxed structure of LiGaPt from the Alexandria database. Energies are from PBE-GGA.

Results
Final energy = -4.17 eV/atom

abc: 4.064 4.064 4.132
angles: 118.50 118.50 62.43
Sites, in units of the cell vectors:
1 Li 0.000 0.000 0.000
2 Ga 0.255 0.255 0.739
3 Pt 0.509 0.509 0.482



# 7
Here is a relaxed structure of LiPrZnIr from the Alexandria database. Energies are from PBE-GGA.

Results
Offset from the most stable computed form = 99 meV/atom

abc: 4.761 4.761 4.761
angles: 60.00 60.00 60.00
Sites, in units of the cell vectors:
1 Li 0.000 0.000 0.000
2 Pr 0.750 0.750 0.750
3 Zn 0.250 0.250 0.250
4 Ir 0.500 0.500 0.500



# 8
Here is a relaxed structure of Ti3NbZnBi3O14 from the Alexandria database. Energies are from PBE-GGA.

Results
Uncorrected formation energy = -2.205 eV per atom

abc: 10.446 10.446 10.446
angles: 90.00 90.00 90.00
Sites, in units of the cell vectors:
1 Ti 0.112 0.362 0.125
2 Ti 0.125 0.112 0.362
3 Ti 0.138 0.875 0.612
4 Ti 0.362 0.125 0.112
5 Ti 0.375 0.888 0.862
6 Ti 0.388 0.638 0.625
7 Ti 0.612 0.138 0.875
8 Ti 0.625 0.388 0.638
9 Ti 0.638 0.625 0.388
10 Ti 0.862 0.375 0.888
11 Ti 0.875 0.612 0.138
12 Ti 0.888 0.862 0.375
13 Nb 0.125 0.625 0.875
14 Nb 0.375 0.375 0.375
15 Nb 0.625 0.875 0.125
16 Nb 0.875 0.125 0.625
17 Zn 0.125 0.375 0.625
18 Zn 0.375 0.625 0.125
19 Zn 0.625 0.125 0.375
20 Zn 0.875 0.875 0.875
21 Bi 0.103 0.125 0.853
22 Bi 0.125 0.853 0.103
23 Bi 0.147 0.603 0.375
24 Bi 0.353 0.397 0.875
25 Bi 0.375 0.147 0.603
26 Bi 0.397 0.875 0.353
27 Bi 0.603 0.375 0.147
28 Bi 0.625 0.647 0.897
29 Bi 0.647 0.897 0.625
30 Bi 0.853 0.103 0.125
31 Bi 0.875 0.353 0.397
32 Bi 0.897 0.625 0.647
33 O 0.001 0.497 0.196
34 O 0.003 0.804 0.501
35 O 0.007 0.695 0.010
36 O 0.010 0.007 0.695
37 O 0.021 0.479 0.521
38 O 0.054 0.247 0.251
39 O 0.055 0.743 0.740
40 O 0.195 0.490 0.993
41 O 0.196 0.001 0.497
42 O 0.229 0.271 0.729
43 O 0.240 0.445 0.257
44 O 0.243 0.760 0.945
45 O 0.247 0.251 0.054
46 O 0.249 0.946 0.747
47 O 0.251 0.054 0.247
48 O 0.253 0.749 0.554
49 O 0.257 0.240 0.445
50 O 0.260 0.555 0.757
51 O 0.271 0.729 0.229
52 O 0.304 0.999 0.997
53 O 0.305 0.510 0.493
54 O 0.445 0.257 0.240
55 O 0.446 0.753 0.751
56 O 0.479 0.521 0.021
57 O 0.490 0.993 0.195
58 O 0.493 0.305 0.510
59 O 0.497 0.196 0.001
60 O 0.499 0.503 0.696
61 O 0.501 0.003 0.804
62 O 0.503 0.696 0.499
63 O 0.507 0.805 0.990
64 O 0.510 0.493 0.305
65 O 0.521 0.021 0.479
66 O 0.554 0.253 0.749
67 O 0.555 0.757 0.260
68 O 0.695 0.010 0.007
69 O 0.696 0.499 0.503
70 O 0.729 0.229 0.271
71 O 0.740 0.055 0.743
72 O 0.743 0.740 0.055
73 O 0.747 0.249 0.946
74 O 0.749 0.554 0.253
75 O 0.751 0.446 0.753
76 O 0.753 0.751 0.446
77 O 0.757 0.260 0.555
78 O 0.760 0.945 0.243
79 O 0.771 0.771 0.771
80 O 0.804 0.501 0.003
81 O 0.805 0.990 0.507
82 O 0.945 0.243 0.760
83 O 0.946 0.747 0.249
84 O 0.979 0.979 0.979
85 O 0.990 0.507 0.805
86 O 0.993 0.195 0.490
87 O 0.997 0.304 0.999
88 O 0.999 0.997 0.304



| no. | total magnetization (μB per atom) |
| --- | --- |
| 1 | 0.000 |
| 2 | 0.140 |
| 3 | 0.000 |
| 4 | 0.000 |
| 5 | 0.000 |
| 6 | 0.000 |
| 7 | 0.000 |
| 8 | 0.000 |